Computed, not measured: crystalline V2CoO6 at its relaxed geometry at the PBE with a Hubbard U level of DFT.

Values from the calculation:
**Energy**: -7.119 eV/atom
**Space group**: P1

abc: 5.0282 5.0922 5.3397
angles: 116.52 91.32 119.42
Last column: nearest neighbours and their distance in Å.
Positions (direct):
O  0.4004  0.5356  0.2838  1 V 1.73
O  0.1345  0.8857  0.2761  1 V 1.79
O  0.8499  0.1316  0.7966  1 V 1.78
O  0.6637  0.5280  0.7833  1 V 1.71
O  0.7520  0.1381  0.2801  1 V 1.75
O  0.2692  0.9443  0.7948  1 V 1.74
V  0.9815  0.9631  0.9632  3 O 1.71-1.78
V  0.4917  0.9630  0.4577  3 O 1.73-1.79
Co  0.7078  0.4122  0.1160  6 O 2.03-2.14